## MgSbRu (meta-GGA SCAN)

Data for a crystal of MgSbRu relaxed with PBEsol.

Calculated values
The formation energy (no corrections) comes out at -15 kJ/mol of atoms. Its density of states at the Fermi level is 0.543 states/eV/atom. The space-group type is I4mm. The raw total energy comes out at -155.1 eV/cell.

a = 3.210 Å, b = 3.210 Å, c = 10.869 Å
α = 90.00°, β = 90.00°, γ = 90.00°
Fractional positions:
1 Mg 0.000 0.000 0.000
2 Mg 0.500 0.500 0.500
3 Sb 0.000 0.000 0.283
4 Sb 0.500 0.500 0.783
5 Ru 0.000 0.000 0.656
6 Ru 0.500 0.500 0.156